# La2Be2Ni

A geometry-optimized La2Be2Ni structure (GGA-PBE, Alexandria via LeMat-Bulk).

a b c (Å): 6.486 6.486 4.559
angles (deg): 90.00 90.00 90.00
Atoms (fractional coordinates):
La: 0.175 0.325 0.000
La: 0.325 0.825 0.000
La: 0.675 0.175 0.000
La: 0.825 0.675 0.000
Be: 0.128 0.628 0.500
Be: 0.372 0.128 0.500
Be: 0.628 0.872 0.500
Be: 0.872 0.372 0.500
Ni: 0.000 0.000 0.500
Ni: 0.500 0.500 0.500

Results
* energy: -4.47 eV/atom
* energy of formation from the pure elements: 0.7 eV/f.u.
* total moment: 0.00 μB/f.u.
* space group: P4/mbm